Computed, not measured: an optimized crystal structure of Ca2GdTm at the GGA-PBE level of DFT.

Unit cell a=5.8419 b=5.8419 c=5.8419 alpha=60.00 beta=60.00 gamma=60.00
Fractional positions:
Ca  0.2500  0.2500  0.2500
Ca  0.7500  0.7500  0.7500
Gd  0.0000  0.0000  0.0000
Tm  0.5000  0.5000  0.5000

Calculated values
- Space group: Fm-3m, No. 225
- Total moment: 7.69 μB/f.u.
- ΔH_f (0 K): 0.189 eV per atom
- Offset from the most stable computed form: 22.4 meV/atom
- Total energy: -5.450 eV/atom
- ρ: 4786 kg/m³

---

Computed, not measured: an optimized crystal structure of Ca2GdTm at the GGA-PBE level of DFT.

Unit cell a=5.1281 b=5.1281 c=5.4452 alpha=90.00 beta=90.00 gamma=90.00
Fractional positions:
Ca  0.0000  0.5000  0.0000
Ca  0.5000  0.0000  0.0000
Gd  0.0000  0.0000  0.5000
Tm  0.5000  0.5000  0.5000

Calculated values
- Space group: P4/mmm, No. 123
- Total moment: 8.85 μB/f.u.
- ΔH_f (0 K): 0.166 eV per atom
- Offset from the most stable computed form: 0.0 meV/atom
- Total energy: -5.473 eV/atom
- ρ: 4712 kg/m³

---

Computed, not measured: an optimized crystal structure of Ca2GdY at the GGA-PBE level of DFT.

Unit cell a=3.7279 b=3.7279 c=10.4956 alpha=90.00 beta=90.00 gamma=90.00
Fractional positions:
Ca  0.0000  0.0000  0.2487
Ca  0.0000  0.0000  0.7513
Gd  0.5000  0.5000  0.5000
Y  0.5000  0.5000  0.0000

Calculated values
- Space group: P4/mmm, No. 123
- Total moment: 7.54 μB/f.u.
- ΔH_f (0 K): 0.147 eV per atom
- Offset from the most stable computed form: 0.0 meV/atom
- Total energy: -5.990 eV/atom
- ρ: 3715 kg/m³

---

Computed, not measured: an optimized crystal structure of Ca2GdY at the GGA-PBE level of DFT.

Unit cell a=5.9023 b=5.9023 c=4.1260 alpha=90.00 beta=90.00 gamma=90.00
Fractional positions:
Ca  0.0000  0.5000  0.0000
Ca  0.5000  0.0000  0.0000
Gd  0.0000  0.0000  0.5000
Y  0.5000  0.5000  0.5000

Calculated values
- Space group: P4/mmm, No. 123
- Total moment: 7.41 μB/f.u.
- ΔH_f (0 K): 0.160 eV per atom
- Offset from the most stable computed form: 12.8 meV/atom
- Total energy: -5.977 eV/atom
- ρ: 3770 kg/m³

---

Which value of ρ does entry 2 give? 4712 kg/m³